This record from Alexandria describes a geometry-optimized Li3CaMg2 structure. The functional is PBE.

a = 8.854 Å, b = 8.854 Å, c = 8.854 Å
α = 43.31°, β = 43.31°, γ = 43.31°
Sites, in units of the cell vectors:
Li1 0.250 0.724 0.724
Li2 0.276 0.276 0.750
Li3 0.276 0.750 0.276
Li4 0.724 0.250 0.724
Li5 0.724 0.724 0.250
Li6 0.750 0.276 0.276
Ca1 0.211 0.211 0.211
Ca2 0.789 0.789 0.789
Mg1 0.000 0.000 0.000
Mg2 0.000 0.500 0.500
Mg3 0.500 0.000 0.500
Mg4 0.500 0.500 0.000

Values from the calculation:
- symmetry = R-3m, No. 166
- calculated volume (Å³/cell) = 296.2
- DFT formation energy (eV/atom) = 0.019
- distance to the lowest polymorph of the same formula (eV per formula unit) = 0.000

This record from Alexandria describes a geometry-optimized LaPr3Pt structure. The functional is PBE.

a = 6.517 Å, b = 6.517 Å, c = 14.132 Å
α = 110.65°, β = 110.65°, γ = 35.17°
Sites, in units of the cell vectors:
La1 0.000 0.000 0.000
La2 0.123 0.123 0.293
Pr1 0.112 0.112 0.615
Pr2 0.236 0.236 0.904
Pr3 0.434 0.434 0.382
Pr4 0.458 0.458 0.760
Pr5 0.779 0.779 0.147
Pr6 0.801 0.801 0.526
Pt1 0.472 0.472 0.145
Pt2 0.767 0.767 0.759

Values from the calculation:
- symmetry = Cm, No. 8
- calculated volume (Å³/cell) = 321.3
- DFT formation energy (eV/atom) = -0.468
- distance to the lowest polymorph of the same formula (eV per formula unit) = 0.000

This record from Alexandria describes a geometry-optimized SmMgCd2 structure. The functional is PBE.

a = 4.755 Å, b = 4.755 Å, c = 4.461 Å
α = 90.00°, β = 90.00°, γ = 90.00°
Sites, in units of the cell vectors:
Sm1 0.000 0.000 0.000
Mg1 0.500 0.500 0.000
Cd1 0.000 0.500 0.500
Cd2 0.500 0.000 0.500

Values from the calculation:
- symmetry = P4/mmm, No. 123
- calculated volume (Å³/cell) = 100.9
- DFT formation energy (eV/atom) = -0.229
- distance to the lowest polymorph of the same formula (eV per formula unit) = 0.389